Here is a geometry-optimized ScTlMo structure from the Alexandria database. Energies are from PBE.

Geometry as POSCAR:
```
ScTlMo
1.0
4.878 0.000 0.000
-2.439 4.225 0.000
0.000 0.000 2.940
Sc Tl Mo
1 1 1
Cartesian
0.000 0.000 0.000
0.000 2.816 1.204
2.439 1.408 1.817
```

- SG: No. 156
- Calculated volume: 20.19 Å³ per atom
- E_form: 370 meV/atom
- Raw total energy: -18.42 eV/cell
- Spin magnetization: 0.000 μB/atom
- Distance to the lowest polymorph of the same formula: 115 meV/atom